Entry 1:
SiTcAsBr2 | GGA-PBE | optimized geometry

It has space group P4/mmm (No. 123), with a = 4.946 Å, b = 4.946 Å, c = 5.174 Å, α = 90.00°, β = 90.00° and γ = 90.00°. The asymmetric unit holds Si at (0.000, 0.000, 0.000), Tc at (0.500, 0.500, 0.500), As at (0.000, 0.000, 0.500) and Br at (0.000, 0.500, 0.000).

The total magnetization is 4.52 Bohr magnetons per cell. For the density of states at the Fermi level, the calculation gives 2.49 states/eV/f.u. The value obtained for the volume is 25.309 Å³/atom. Its theoretical density is 4.735 g/cm3. The calculation puts the electronic total energy at -19.0 eV per formula unit. As for the raw formation energy: 459 kJ/mol of formula units.

Entry 2:
Zr2TaSnBi | GGA-PBE | optimized geometry

It has space group P4/mmm (No. 123), with a = 5.258 Å, b = 5.258 Å, c = 5.513 Å, α = 90.00°, β = 90.00° and γ = 90.00°. The asymmetric unit holds Zr at (0.000, 0.500, 0.000), Ta at (0.000, 0.000, 0.500), Sn at (0.500, 0.500, 0.000) and Bi at (0.500, 0.500, 0.500).

The total magnetization is 0.00 Bohr magnetons per cell. For the density of states at the Fermi level, the calculation gives 4.09 states/eV/f.u. The value obtained for the volume is 30.481 Å³/atom. Its theoretical density is 7.530 g/cm3. The calculation puts the electronic total energy at -29.3 eV per formula unit. As for the energy of formation from the pure elements: 145 kJ/mol of atoms.